Record 1
The following is a DFT calculation (PBE) of a geometry-optimized CsRbAu2 structure.

Formation enthalpy at 0 K (eV/atom): -0.27

Cell lengths 5.0154, 5.0154, 26.0145 Å; angles 90.00, 90.00, 120.00 degrees
Space group R3m (No. 160, hexagonal axes)
Unique sites:
Cs: 0.0000 0.0000 0.0000 (multiplicity 3)
Rb: 0.0000 0.0000 0.1690 (multiplicity 3)
Au: 0.0000 0.0000 0.5817 (multiplicity 3)
Au: 0.0000 0.0000 0.7542 (multiplicity 3)



Record 2
The following is a DFT calculation (PBE) of a geometry-optimized NaAgPd structure.

Formation enthalpy at 0 K (eV/atom): -0.15

Cell lengths 5.530, 5.562, 7.780 Å; angles 90.00, 90.00, 90.00 degrees
Space group Imma (No. 74)
Unique sites:
Na: 0.000 0.250 0.119 (multiplicity 4)
Ag: 0.000 0.000 0.500 (multiplicity 4)
Pd: 0.250 0.250 0.750 (multiplicity 4)



Record 3
The following is a DFT calculation (PBE) of a geometry-optimized TmPd5Pb structure.

Formation enthalpy at 0 K (eV/atom): -0.42

Cell lengths 6.002, 9.407, 9.312 Å; angles 90.00, 90.00, 90.00 degrees
Space group Imma (No. 74)
Unique sites:
Tm: 0.000 0.250 0.105 (multiplicity 4)
Pd: 0.000 0.009 0.261 (multiplicity 8)
Pd: 0.000 0.250 0.438 (multiplicity 4)
Pd: 0.242 0.000 0.000 (multiplicity 8)
Pb: 0.250 0.250 0.750 (multiplicity 4)



Record 4
The following is a DFT calculation (PBE) of a geometry-optimized PWSe structure.

Raw formation energy (meV per atom): 768

Cell lengths 5.941, 5.941, 5.941 Å; angles 90.00, 90.00, 90.00 degrees
Space group F-43m (No. 216)
Unique sites:
P: 0.000 0.000 0.000 (multiplicity 4)
W: 0.250 0.250 0.750 (multiplicity 4)
Se: 0.250 0.250 0.250 (multiplicity 4)



Record 5
The following is a DFT calculation (PBE) of a geometry-optimized SmSnS3 structure.

Raw formation energy (meV per atom): -1113

Cell lengths 6.9916, 6.9916, 18.5104 Å; angles 90.00, 90.00, 120.00 degrees
Space group R-3 (No. 148, hexagonal axes)
Unique sites:
Sm: 0.0000 0.0000 0.1459 (multiplicity 6)
Sn: 0.0000 0.0000 0.3495 (multiplicity 6)
S: 0.0054 0.7053 0.2522 (multiplicity 18)



Record 6
The following is a DFT calculation (PBE) of a geometry-optimized Nd2AlZn2Ni5 structure.

Formation enthalpy at 0 K (eV/atom): -0.24

Cell lengths 9.591, 9.591, 3.467 Å; angles 90.00, 90.00, 90.00 degrees
Space group P4/mbm (No. 127)
Unique sites:
Nd: 0.178 0.322 0.000 (multiplicity 4)
Al: 0.000 0.000 0.000 (multiplicity 2)
Zn: 0.120 0.620 0.000 (multiplicity 4)
Ni: 0.000 0.500 0.500 (multiplicity 2)
Ni: 0.054 0.802 0.500 (multiplicity 8)



no.,density (g/cm³)
1,5.4
2,6.6
3,11.5
4,9.3
5,4.6
6,7.7